Compound: ThAl3Ir2
Source: Alexandria via LeMat-Bulk
Functional: GGA-PBE
Structure: relaxed

Cell lengths 4.173, 8.542, 9.974 Å; angles 106.82, 90.00, 104.14 degrees
Element x y z (fractional)
Al 0.677 0.354 0.967
Al 0.500 0.000 0.500
Al 0.631 0.262 0.210
Al 0.955 0.911 0.644
Al 0.323 0.646 0.033
Al 0.045 0.089 0.356
Al 0.214 0.428 0.397
Al 0.786 0.572 0.603
Al 0.369 0.738 0.790
Ir 0.526 0.052 0.783
Ir 0.807 0.615 0.872
Ir 0.193 0.385 0.128
Ir 0.363 0.726 0.542
Ir 0.474 0.948 0.217
Ir 0.637 0.274 0.458
Th 0.161 0.321 0.707
Th 0.839 0.679 0.293
Th 0.000 0.000 0.000

Results
Formation enthalpy at 0 K, eV/atom: -0.87
Fermi-level density of states, states/eV/f.u.: 3.8
Total energy, eV for the cell shown: -124.74